A:
{"formula": "LiEr4Zr4O14", "functional": "PBE-GGA", "state": "optimized geometry", "lattice": [[3.5325, 0.0000, 0.0000], [0.0000, 7.8754, -0.2840], [0.0000, -0.1284, 10.7843]], "species": ["O", "O", "Zr", "Zr", "Er", "O", "O", "O", "Er", "O", "O", "O", "O", "O", "Li", "O", "Er", "O", "Er", "Zr", "Zr", "O", "O"], "fractional_positions": [[0.0000, 0.0226, 0.0844], [0.0000, 0.4902, 0.5968], [0.5000, 0.4347, 0.4819], [0.5000, 0.0654, 0.9683], [0.5000, 0.9670, 0.4821], [0.0000, 0.4391, 0.3449], [0.5000, 0.8402, 0.6576], [0.0000, 0.5550, 0.1042], [0.0000, 0.2771, 0.7350], [0.0000, 0.0356, 0.8431], [0.5000, 0.7822, 0.9251], [0.5000, 0.2926, 0.8710], [0.5000, 0.7670, 0.1947], [0.0000, 0.9579, 0.3643], [0.0000, 0.7917, 0.0422], [0.5000, 0.2159, 0.6074], [0.0000, 0.7726, 0.7593], [0.5000, 0.6839, 0.4223], [0.5000, 0.5096, 0.0057], [0.0000, 0.1874, 0.2439], [0.0000, 0.6909, 0.2805], [0.5000, 0.2043, 0.3617], [0.5000, 0.2582, 0.1250]]}



B:
{"formula": "LiEr4Zr4O14", "functional": "PBE-GGA", "state": "optimized geometry", "lattice": [[7.5332, 0.0000, 0.0000], [0.0000, 3.6297, 0.0159], [0.0000, 0.1333, 10.6986]], "species": ["O", "O", "O", "O", "Zr", "O", "Er", "O", "O", "O", "O", "O", "Zr", "Er", "O", "Zr", "Zr", "Er", "Er", "O", "O", "Li", "O"], "fractional_positions": [[0.7549, 0.9643, 0.3919], [0.0000, 0.4846, 0.8539], [0.5000, 0.4461, 0.3192], [0.3023, 0.9688, 0.1316], [0.7603, 0.4868, 0.7446], [0.5000, 0.4835, 0.8491], [0.5000, 0.9776, 0.9696], [0.2322, 0.9830, 0.8830], [0.7678, 0.9830, 0.8830], [0.2451, 0.9643, 0.3919], [0.6977, 0.9688, 0.1316], [0.5000, 0.4980, 0.5840], [0.2397, 0.4868, 0.7446], [0.0000, 0.9891, 0.5093], [0.0000, 0.4867, 0.6186], [0.5000, 0.0121, 0.4932], [0.0000, 0.9768, 0.9847], [0.7724, 0.4644, 0.2501], [0.2276, 0.4644, 0.2501], [0.0000, 0.4708, 0.1021], [0.2658, 0.9927, 0.6450], [0.5000, 0.9578, 0.2386], [0.7342, 0.9927, 0.6450]]}



C:
{"formula": "LiEr4Zr4O14", "functional": "PBE-GGA", "state": "optimized geometry", "lattice": [[-0.9418, 1.5674, 2.9971], [-6.9853, 1.2263, -2.8363], [-3.3950, -9.8689, 4.0942]], "species": ["O", "O", "O", "Zr", "O", "Li", "O", "O", "Er", "O", "Zr", "O", "Zr", "O", "O", "O", "Zr", "O", "O", "Er", "O", "Er", "Er"], "fractional_positions": [[0.0000, 0.0000, 0.8798], [0.5000, 0.7109, 0.1361], [0.0000, 0.5000, 0.8058], [0.5000, 0.5000, 0.4526], [0.5000, 0.2559, 0.6674], [0.5000, 0.5000, 0.7013], [0.0000, 0.0000, 0.1200], [0.5000, 0.7441, 0.6674], [0.0000, 0.7575, 0.2460], [0.5000, 0.2369, 0.9032], [0.0000, 0.2263, 0.7709], [0.5000, 0.7631, 0.9032], [0.0000, 0.7737, 0.7709], [0.5000, 0.2192, 0.3956], [0.0000, 0.5000, 0.5490], [0.0000, 0.0000, 0.6430], [0.5000, 0.0000, 0.0052], [0.5000, 0.7808, 0.3956], [0.5000, 0.2891, 0.1361], [0.5000, 0.0000, 0.5342], [0.0000, 0.5000, 0.3195], [0.0000, 0.2425, 0.2460], [0.5000, 0.5000, 0.0010]]}



D:
{"formula": "LiEr4Zr4O14", "functional": "PBE-GGA", "state": "optimized geometry", "lattice": [[-3.2491, 1.7340, -1.2620], [1.3295, -2.3479, -6.6489], [-5.5151, -8.9039, 1.9650]], "species": ["O", "Li", "Zr", "O", "O", "Er", "O", "O", "O", "O", "O", "O", "O", "Er", "Zr", "Zr", "O", "Er", "O", "Zr", "O", "Er", "O"], "fractional_positions": [[0.5000, 0.7554, 0.1181], [0.0000, 0.0000, 0.0000], [0.5000, 0.0000, 0.5000], [0.0000, 0.0267, 0.1458], [0.0000, 0.4788, 0.6122], [0.5000, 0.5000, 0.0000], [0.0000, 0.4764, 0.1331], [0.5000, 0.2518, 0.3809], [0.0000, 0.5236, 0.8669], [0.0000, 0.9770, 0.3876], [0.5000, 0.7482, 0.6191], [0.0000, 0.0230, 0.6124], [0.5000, 0.2446, 0.8819], [0.0000, 0.7448, 0.7208], [0.0000, 0.7455, 0.2570], [0.5000, 0.5000, 0.5000], [0.5000, 0.7474, 0.3646], [0.5000, 0.0000, 0.0000], [0.0000, 0.9733, 0.8542], [0.0000, 0.2545, 0.7430], [0.0000, 0.5212, 0.3878], [0.0000, 0.2552, 0.2792], [0.5000, 0.2526, 0.6354]]}



A comes first in stability; the runner-up is 0.009 eV/atom higher.